(1)
Here is a relaxed BeOs crystal from Alexandria via LeMat-Bulk. Energies are from PBE-GGA.

```
BeOs
1.0
-3.493 3.493 3.493
3.493 -3.493 3.493
3.493 3.493 -3.493
Be Os
4 4
Cartesian
2.223 2.223 -2.223
2.223 -2.223 2.223
1.270 1.270 1.270
-2.223 2.223 2.223
0.928 0.928 -0.928
0.928 -0.928 0.928
-0.928 0.928 0.928
2.565 2.565 2.565
```

Properties
Crystal system: cubic
Total magnetic moment (μB per cell): 0.00
ΔE_f (meV per atom): 1631
N(E_F) (states/eV/cell): 10.4



(2)
Here is a relaxed LiPb5 crystal from Alexandria via LeMat-Bulk. Energies are from PBE-GGA.

```
LiPb5
1.0
2.872 -8.507 0.000
2.872 8.507 0.000
0.000 0.000 3.554
Li Pb
1 5
Cartesian
0.000 0.000 0.000
2.872 6.111 1.777
2.872 3.112 0.000
2.872 0.000 1.777
2.872 -3.112 0.000
2.872 -6.111 1.777
```

Properties
Crystal system: orthorhombic
E above lowest polymorph (kJ/mol of formula units): 8
Total magnetic moment (μB per cell): 0.00
ΔE_f (meV per atom): -45
N(E_F) (states/eV/cell): 2.8



- N(E_F) of number 1 (BeOs)?
  10.4 states/eV/cell